No. 1
PmHo12Er7 (PBE, relaxed); total energy = -4.272 eV per atom; M_tot = 0.00 Bohr magnetons per cell; energy of formation = 309.2 meV per atom; excess energy over the best structure of this formula in the dataset = 0.000 eV per atom
1.0
6.367 3.676 4.509
-6.367 3.676 4.509
0.000 -7.352 4.509
Pm Ho Er
1 12 7
Direct
0.000 0.000 0.000
0.146 0.476 0.413
0.189 0.319 0.750
0.250 0.811 0.681
0.319 0.750 0.189
0.413 0.146 0.476
0.476 0.413 0.146
0.524 0.587 0.854
0.587 0.854 0.524
0.681 0.250 0.811
0.750 0.189 0.319
0.811 0.681 0.250
0.854 0.524 0.587
0.016 0.351 0.081
0.081 0.016 0.351
0.351 0.081 0.016
0.500 0.500 0.500
0.649 0.919 0.984
0.919 0.984 0.649
0.984 0.649 0.919



No. 2
Ca2Ge2Pd5Pb (PBE, relaxed); total energy = -4.899 eV per atom; M_tot = 0.00 Bohr magnetons per cell; energy of formation = -608.0 meV per atom
1.0
10.355 0.000 0.000
0.000 10.355 0.000
0.000 0.000 3.632
Ca Ge Pd Pb
4 4 10 2
Direct
0.175 0.325 0.000
0.325 0.825 0.000
0.675 0.175 0.000
0.825 0.675 0.000
0.123 0.623 0.000
0.377 0.123 0.000
0.623 0.877 0.000
0.877 0.377 0.000
0.000 0.500 0.500
0.065 0.785 0.500
0.215 0.065 0.500
0.285 0.565 0.500
0.435 0.285 0.500
0.500 0.000 0.500
0.565 0.715 0.500
0.715 0.435 0.500
0.785 0.935 0.500
0.935 0.215 0.500
0.000 0.000 0.000
0.500 0.500 0.000



No. 3
NaThSO2 (PBE, relaxed); total energy = -6.729 eV per atom; formation energy from raw total energies = -2173 meV per atom; M_tot = 0.97 Bohr magnetons per cell
1.0
-2.007 2.007 6.174
2.007 -2.007 6.174
2.007 2.007 -6.174
Na Th S O
1 1 1 2
Direct
0.000 0.000 0.000
0.321 0.321 0.000
0.691 0.691 0.000
0.401 0.901 0.500
0.901 0.401 0.500



No. 4
Sr2CdTc (PBE, relaxed); total energy = -3.070 eV per atom; M_tot = 1.39 Bohr magnetons per cell; energy of formation = 591.4 meV per atom
1.0
-2.399 2.399 4.783
2.399 -2.399 4.783
2.399 2.399 -4.783
Sr Cd Tc
2 1 1
Direct
0.000 0.000 0.000
0.750 0.250 0.500
0.500 0.500 0.000
0.250 0.750 0.500



No. 5
ThCr2S4 (PBE, relaxed); total energy = -7.197 eV per atom; formation energy from raw total energies = -1029 meV per atom; M_tot = 15.86 Bohr magnetons per cell
1.0
-4.248 4.248 3.931
4.248 -4.248 3.931
4.248 4.248 -3.931
Th Cr S
2 4 8
Direct
0.375 0.625 0.750
0.625 0.375 0.250
0.000 0.000 0.000
0.000 0.000 0.500
0.000 0.500 0.000
0.500 0.000 0.500
0.133 0.702 0.431
0.229 0.298 0.931
0.298 0.229 0.431
0.298 0.867 0.069
0.702 0.133 0.931
0.702 0.771 0.569
0.771 0.702 0.069
0.867 0.298 0.569



No. 6
Mn2V4Ni (PBE, relaxed); total energy = -7.789 eV per atom; M_tot = 0.14 Bohr magnetons per cell; energy of formation = 866.9 meV per atom
1.0
-2.138 2.138 5.828
2.138 -2.138 5.828
2.138 2.138 -5.828
Mn V Ni
2 4 1
Direct
0.118 0.118 0.000
0.882 0.882 0.000
0.000 0.500 0.500
0.298 0.298 0.000
0.500 0.000 0.500
0.702 0.702 0.000
0.500 0.500 0.000



No. 7
Sr2TlPd (PBE, relaxed); total energy = -3.197 eV per atom; M_tot = 0.00 Bohr magnetons per cell; energy of formation = -466.4 meV per atom; excess energy over the best structure of this formula in the dataset = 0.000 eV per atom
1.0
6.534 0.000 0.000
0.000 4.366 0.000
-2.602 0.000 9.082
Sr Tl Pd
4 2 2
Direct
0.190 0.250 0.412
0.268 0.750 0.054
0.732 0.250 0.946
0.810 0.750 0.588
0.360 0.750 0.713
0.640 0.250 0.287
0.129 0.250 0.789
0.871 0.750 0.211



No. 8
EuGa3B4O12 (PBE, relaxed); total energy = -7.535 eV per atom; formation energy from raw total energies = -2257 meV per atom; M_tot = 5.95 Bohr magnetons per cell
1.0
4.790 2.766 2.547
-4.790 2.766 2.547
0.000 -5.531 2.547
Eu Ga B O
1 3 4 12
Direct
0.000 0.000 0.000
0.000 0.551 0.449
0.449 0.000 0.551
0.551 0.449 0.000
0.055 0.500 0.945
0.500 0.500 0.500
0.500 0.945 0.055
0.945 0.055 0.500
0.027 0.625 0.785
0.091 0.909 0.500
0.215 0.375 0.973
0.355 0.645 0.500
0.375 0.973 0.215
0.500 0.091 0.909
0.500 0.355 0.645
0.625 0.785 0.027
0.645 0.500 0.355
0.785 0.027 0.625
0.909 0.500 0.091
0.973 0.215 0.375



No. 9
TbCd2Hg4 (PBE, relaxed); total energy = -1.287 eV per atom; M_tot = 0.00 Bohr magnetons per cell; energy of formation = -191.6 meV per atom
1.0
2.501 1.444 8.136
-2.501 1.444 8.136
0.000 -2.888 8.136
Tb Cd Hg
1 2 4
Direct
0.000 0.000 0.000
0.254 0.254 0.254
0.746 0.746 0.746
0.133 0.133 0.133
0.386 0.386 0.386
0.614 0.614 0.614
0.867 0.867 0.867



No. 10
Zr2AlP (PBE, relaxed); total energy = -7.118 eV per atom; M_tot = 0.00 Bohr magnetons per cell; energy of formation = -555.9 meV per atom; excess energy over the best structure of this formula in the dataset = 0.286 eV per atom
1.0
3.363 0.000 0.000
-0.015 4.563 0.000
-1.681 -2.145 4.843
Zr Al P
2 1 1
Direct
0.000 0.000 0.000
0.225 0.681 0.454
0.440 0.435 0.881
0.723 0.164 0.449



No. 11
Tb3FeSi6 (PBE, relaxed); total energy = -5.995 eV per atom; formation energy from raw total energies = -506 meV per atom; M_tot = 0.00 Bohr magnetons per cell
1.0
4.009 0.000 0.000
0.000 2.030 23.466
0.000 -2.030 23.466
Tb Fe Si
6 2 12
Direct
0.000 0.000 0.000
0.000 0.330 0.330
0.000 0.669 0.669
0.500 0.259 0.259
0.500 0.595 0.595
0.500 0.926 0.926
0.500 0.048 0.048
0.500 0.379 0.379
0.000 0.066 0.066
0.000 0.119 0.119
0.000 0.396 0.396
0.000 0.448 0.448
0.000 0.730 0.730
0.000 0.779 0.779
0.500 0.147 0.147
0.500 0.196 0.196
0.500 0.476 0.476
0.500 0.529 0.529
0.500 0.808 0.808
0.500 0.860 0.860



No. 12
RbTlBP (PBE, relaxed); total energy = -3.718 eV per atom; M_tot = 0.00 Bohr magnetons per cell; energy of formation = 137.2 meV per atom; excess energy over the best structure of this formula in the dataset = 0.000 eV per atom
1.0
3.288 0.000 0.000
1.617 5.375 0.000
0.069 2.474 5.957
Rb Tl B P
1 1 1 1
Direct
0.000 0.000 0.000
0.629 0.717 0.599
0.772 0.436 0.381
0.354 0.271 0.364



No. 13
Nd2SmHo5Sc (PBE, relaxed); total energy = -4.673 eV per atom; M_tot = 0.00 Bohr magnetons per cell; energy of formation = 157.9 meV per atom
1.0
2.790 -9.888 0.000
2.790 9.888 0.000
0.000 0.000 10.438
Nd Sm Ho Sc
4 2 10 2
Direct
0.113 0.887 0.500
0.115 0.885 0.919
0.885 0.115 0.419
0.887 0.113 0.000
0.412 0.588 0.643
0.588 0.412 0.143
0.017 0.983 0.204
0.277 0.723 0.507
0.298 0.702 0.889
0.375 0.625 0.204
0.482 0.518 0.925
0.518 0.482 0.425
0.625 0.375 0.704
0.702 0.298 0.389
0.723 0.277 0.007
0.983 0.017 0.704
0.197 0.803 0.200
0.803 0.197 0.700



No. 14
NaZr2CuF11 (PBE, relaxed); total energy = -6.028 eV per atom; formation energy from raw total energies = -3155 meV per atom; M_tot = 1.00 Bohr magnetons per cell; excess energy over the best structure of this formula in the dataset = 0.000 eV per atom
1.0
5.564 0.000 0.000
-1.622 5.657 0.000
-0.835 -3.066 7.085
Na Zr Cu F
1 2 1 11
Direct
0.000 0.000 0.000
0.484 0.268 0.763
0.516 0.732 0.237
0.000 0.500 0.500
0.190 0.944 0.718
0.222 0.400 0.650
0.241 0.516 0.341
0.248 0.822 0.113
0.347 0.339 0.024
0.500 0.000 0.500
0.653 0.661 0.976
0.752 0.178 0.887
0.759 0.484 0.659
0.778 0.600 0.350
0.810 0.056 0.282



No. 15
LaTb8Ho2 (PBE, relaxed); total energy = -4.529 eV per atom; M_tot = 0.00 Bohr magnetons per cell; energy of formation = 118.7 meV per atom; excess energy over the best structure of this formula in the dataset = 0.000 eV per atom
1.0
-2.769 4.100 7.958
2.769 -4.100 7.958
2.769 4.100 -7.958
La Tb Ho
1 8 2
Direct
0.000 0.000 0.000
0.154 0.859 0.295
0.164 0.664 0.500
0.296 0.500 0.796
0.436 0.141 0.295
0.564 0.859 0.705
0.704 0.500 0.204
0.836 0.336 0.500
0.846 0.141 0.705
0.301 0.301 0.000
0.699 0.699 0.000



No. 16
Os4PbBr (PBE, relaxed); total energy = -6.955 eV per atom; formation energy from raw total energies = 1429 meV per atom; M_tot = 3.48 Bohr magnetons per cell
1.0
0.000 3.812 3.812
3.812 0.000 3.812
3.812 3.812 0.000
Os Pb Br
4 1 1
Direct
0.125 0.125 0.125
0.125 0.125 0.625
0.125 0.625 0.125
0.625 0.125 0.125
0.750 0.750 0.750
0.500 0.500 0.500



No. 17
YSc3Cd6 (PBE, relaxed); total energy = -3.358 eV per atom; M_tot = 0.00 Bohr magnetons per cell; energy of formation = -263.4 meV per atom
1.0
8.821 0.000 0.000
0.000 5.017 0.000
-2.946 0.000 10.292
Y Sc Cd
2 6 12
Direct
0.058 0.250 0.391
0.942 0.750 0.609
0.245 0.250 0.002
0.353 0.750 0.805
0.466 0.250 0.605
0.534 0.750 0.395
0.647 0.250 0.195
0.755 0.750 0.998
0.059 0.750 0.909
0.147 0.750 0.202
0.168 0.250 0.703
0.259 0.750 0.512
0.360 0.250 0.296
0.454 0.750 0.099
0.546 0.250 0.901
0.640 0.750 0.704
0.741 0.250 0.488
0.832 0.750 0.297
0.853 0.250 0.798
0.941 0.250 0.091



No. 18
VCdH (PBE, relaxed); total energy = -4.240 eV per atom; M_tot = 0.42 Bohr magnetons per cell; excess energy over the best structure of this formula in the dataset = 0.252 eV per atom
1.0
2.921 0.000 0.000
-1.461 2.530 0.000
0.000 0.000 10.658
V Cd H
2 2 2
Direct
0.333 0.667 0.000
0.667 0.333 0.500
0.333 0.667 0.723
0.667 0.333 0.223
0.000 0.000 0.447
0.000 0.000 0.947



No. 19
Sr3AlGa (PBE, relaxed); total energy = -2.180 eV per atom; M_tot = 2.46 Bohr magnetons per cell; energy of formation = 183.0 meV per atom; excess energy over the best structure of this formula in the dataset = 0.373 eV per atom
1.0
6.047 0.000 0.000
0.000 6.047 0.000
0.000 0.000 6.047
Sr Al Ga
3 1 1
Direct
0.000 0.000 0.500
0.000 0.500 0.000
0.500 0.000 0.000
0.500 0.500 0.500
0.000 0.000 0.000



No. 20
YHf2Os (PBE, relaxed); total energy = -9.387 eV per atom; M_tot = 0.00 Bohr magnetons per cell; energy of formation = 12.8 meV per atom; excess energy over the best structure of this formula in the dataset = 0.180 eV per atom
1.0
0.000 3.425 3.425
3.425 0.000 3.425
3.425 3.425 0.000
Y Hf Os
1 2 1
Direct
0.000 0.000 0.000
0.250 0.250 0.250
0.750 0.750 0.750
0.500 0.500 0.500



No. 21
SmY6Th3 (PBE, relaxed); total energy = -6.471 eV per atom; M_tot = 0.00 Bohr magnetons per cell; energy of formation = 105.3 meV per atom; excess energy over the best structure of this formula in the dataset = 0.000 eV per atom
1.0
13.248 0.000 0.000
0.000 3.506 0.000
-1.879 0.000 14.207
Sm Y Th
2 12 6
Direct
0.184 0.250 0.394
0.816 0.750 0.606
0.075 0.750 0.603
0.128 0.250 0.020
0.244 0.250 0.796
0.276 0.750 0.203
0.378 0.750 0.001
0.438 0.750 0.402
0.562 0.250 0.598
0.622 0.250 0.999
0.724 0.250 0.797
0.756 0.750 0.204
0.872 0.750 0.980
0.925 0.250 0.397
0.020 0.750 0.209
0.326 0.750 0.603
0.492 0.750 0.798
0.508 0.250 0.202
0.674 0.250 0.397
0.980 0.250 0.791